[1]
DFT (GGA-PBE) results for an optimized crystal structure of La4SmY15.

Calculated values
**ΔE_f**: 29 meV/atom
**Electronic total energy**: -6.0402 eV per atom

a = 5.1234 Å, b = 5.1234 Å, c = 25.4112 Å
α = 90.00°, β = 90.00°, γ = 90.00°
Space group P4/mmm (No. 123)
Unique sites:
La  0.0000  0.0000  0.1005 (multiplicity 2)
La  0.0000  0.0000  0.3004 (multiplicity 2)
Sm  0.0000  0.0000  0.5000 (multiplicity 1)
Y  0.0000  0.5000  0.0000 (multiplicity 2)
Y  0.0000  0.5000  0.2008 (multiplicity 4)
Y  0.0000  0.5000  0.4018 (multiplicity 4)
Y  0.5000  0.5000  0.1004 (multiplicity 2)
Y  0.5000  0.5000  0.3013 (multiplicity 2)
Y  0.5000  0.5000  0.5000 (multiplicity 1)

[2]
DFT (GGA-PBE) results for an optimized crystal structure of La4SmY4.

Calculated values
**ΔE_f**: 25 meV/atom
**Electronic total energy**: -5.5626 eV per atom

a = 10.9414 Å, b = 10.9414 Å, c = 5.2011 Å
α = 90.00°, β = 90.00°, γ = 90.00°
Space group I4/mmm (No. 139)
Unique sites:
La  0.0000  0.3325  0.0000 (multiplicity 8)
Sm  0.0000  0.0000  0.0000 (multiplicity 2)
Y  0.1648  0.1648  0.5000 (multiplicity 8)

[3]
DFT (GGA-PBE) results for an optimized crystal structure of LaSm6Y3.

Calculated values
**ΔE_f**: 257 meV/atom
**Electronic total energy**: -5.0069 eV per atom

a = 9.9799 Å, b = 9.9799 Å, c = 11.9283 Å
α = 90.00°, β = 90.00°, γ = 120.00°
Space group R32 (No. 155, hexagonal axes)
Unique sites:
La  0.0000  0.0000  0.0000 (multiplicity 3)
Sm  0.0000  0.3286  0.0000 (multiplicity 9)
Sm  0.0000  0.6722  0.5000 (multiplicity 9)
Y  0.0000  0.0000  0.2540 (multiplicity 6)
Y  0.0000  0.0000  0.5000 (multiplicity 3)

[4]
DFT (GGA-PBE) results for an optimized crystal structure of La4SmY6.

Calculated values
**ΔE_f**: 942 meV/atom
**Electronic total energy**: -4.8042 eV per atom

a = 15.4333 Å, b = 15.4333 Å, c = 3.3469 Å
α = 90.00°, β = 90.00°, γ = 120.00°
Space group P-6m2 (No. 187)
Unique sites:
La  0.0000  0.0000  0.0000 (multiplicity 1)
La  0.5310  0.0619  0.5000 (multiplicity 3)
Sm  0.6667  0.3333  0.0000 (multiplicity 1)
Y  0.2391  0.1196  0.0000 (multiplicity 3)
Y  0.4510  0.2255  0.5000 (multiplicity 3)